# 1
CdFePt4 | PBE-GGA | optimized geometry

ΔE to the lowest computed polymorph = 0.2661 eV/atom
calculated formation energy = 0.051 eV per atom
SG = F-43m, No. 216

a = 5.2810 Å, b = 5.2810 Å, c = 5.2810 Å
α = 60.00°, β = 60.00°, γ = 60.00°
With the nearest neighbours (Å) after each atom.
Sites, in units of the cell vectors:
Pt  0.1245  0.6252  0.6252  6 Pt 2.64
Cd  0.2500  0.2500  0.2500  12 Pt 3.10, 4 Fe 3.23
Fe  0.0000  0.0000  0.0000  12 Pt 3.10, 4 Cd 3.23
Pt  0.6252  0.1245  0.6252  6 Pt 2.64
Pt  0.6252  0.6252  0.6252  6 Pt 2.64
Pt  0.6252  0.6252  0.1245  6 Pt 2.64

# 2
TbNd2Tm3Sb6 | PBE-GGA | optimized geometry

raw formation energy = -1.116 eV per atom
SG = C2/m, No. 12

a = 4.4132 Å, b = 8.8186 Å, c = 9.8580 Å
α = 102.80°, β = 102.93°, γ = 90.00°
With the nearest neighbours (Å) after each atom.
Sites, in units of the cell vectors:
Sb  0.3328  0.9251  0.6656  3 Tm 3.07-3.09, 1 Tb 3.13, 2 Nd 3.17
Tb  0.5000  0.0000  0.0000  6 Sb 3.13-3.14
Nd  0.8341  0.6675  0.6681  6 Sb 3.17-3.18
Nd  0.1659  0.3325  0.3319  6 Sb 3.17-3.18
Sb  0.6672  0.0749  0.3344  3 Tm 3.07-3.09, 1 Tb 3.13, 2 Nd 3.17
Sb  0.3360  0.4098  0.6719  3 Tm 3.07, 3 Nd 3.17-3.18
Sb  0.9966  0.2512  0.9932  3 Tm 3.07-3.10, 2 Tb 3.14, 1 Nd 3.17
Sb  0.6640  0.5902  0.3281  3 Tm 3.07, 3 Nd 3.17-3.18
Tm  0.1677  0.8338  0.3354  6 Sb 3.07-3.09
Tm  0.5000  0.5000  0.0000  6 Sb 3.07-3.10
Sb  0.0034  0.7488  0.0068  3 Tm 3.07-3.10, 2 Tb 3.14, 1 Nd 3.17
Tm  0.8323  0.1662  0.6646  6 Sb 3.07-3.09

Number 1: Fermi-level density of states 7.347 states/eV per cell, total energy -33.24 eV per cell. Number 2: Fermi-level density of states 1.918 states/eV per cell, total energy -65.71 eV per cell.